The following is a PBE-GGA calculation of ZrMnCd after structural relaxation, from the Alexandria database.

```
data_ZrMnCd
_chemical_formula_sum 'Zr4 Mn4 Cd4'
_symmetry_space_group_name_H-M 'F -4 3 m'
_symmetry_Int_Tables_number 216
_symmetry_space_group_name_Hall 'F -4 2 3'
_cell_length_a 6.356
_cell_length_b 6.356
_cell_length_c 6.356
_cell_angle_alpha 90.00
_cell_angle_beta 90.00
_cell_angle_gamma 90.00
loop_
_atom_site_label
_atom_site_type_symbol
_atom_site_fract_x
_atom_site_fract_y
_atom_site_fract_z
Zr1 Zr 0.000 0.000 0.000
Mn1 Mn 0.250 0.250 0.750
Cd1 Cd 0.000 0.000 0.500
```

Computed properties:
* polymorph energy (0 for the lowest one): 44.6 kJ per mole of atoms
* size of the total moment: 7.395 Bohr magnetons per cell